Material: Mg2ScIn
Method: DFT, PBEsol
State: relaxed

As for the total energy: -3.46 eV/atom.

It has space group F-43m (No. 216), with a = 7.0034 Å, b = 7.0034 Å, c = 7.0034 Å, α = 90.00°, β = 90.00° and γ = 90.00°. The asymmetric unit holds Mg at (0.0000, 0.0000, 0.0000), Mg at (0.2500, 0.2500, 0.2500), Sc at (0.2500, 0.2500, 0.7500) and In at (0.0000, 0.0000, 0.5000).